[1]
This record from OQMD via LeMat-Bulk describes an optimized crystal structure of Sr2HgH6Pd. The functional is PBE.

Output
SG = No. 225

Cell lengths 5.6213, 5.6213, 5.6213 Å; angles 60.00, 60.00, 60.00 degrees
With the nearest neighbours (Å) after each atom.
Sites, in units of the cell vectors:
1 Sr 0.2500 0.2500 0.2500  12 H 2.82
2 Sr 0.7500 0.7500 0.7500  12 H 2.82
3 Hg 0.0000 0.0000 0.0000  6 H 2.19
4 H 0.2752 0.2752 0.7248  1 Pd 1.79
5 H 0.2752 0.7248 0.2752  1 Pd 1.79
6 H 0.2752 0.7248 0.7248  1 Pd 1.79
7 H 0.7248 0.2752 0.2752  1 Pd 1.79
8 H 0.7248 0.2752 0.7248  1 Pd 1.79
9 H 0.7248 0.7248 0.2752  1 Pd 1.79
10 Pd 0.5000 0.5000 0.5000  6 H 1.79



[2]
This record from OQMD via LeMat-Bulk describes an optimized crystal structure of RbHgH6. The functional is PBE.

Output
SG = No. 2

Cell lengths 5.1498, 5.1589, 5.2512 Å; angles 62.94, 62.44, 62.31 degrees
With the nearest neighbours (Å) after each atom.
Sites, in units of the cell vectors:
1 Rb 0.0000 0.0000 0.0000  6 H 2.61-2.81
2 Hg 0.5000 0.5000 0.5000  4 H 1.78
3 H 0.0746 0.4968 0.9321  1 H 0.77
4 H 0.3358 0.3945 0.3434  1 Hg 1.78
5 H 0.3394 0.9039 0.3454  1 Hg 1.78
6 H 0.6606 0.0961 0.6546  1 Hg 1.78
7 H 0.6642 0.6055 0.6566  1 Hg 1.78
8 H 0.9254 0.5032 0.0679  1 H 0.77



[3]
This record from OQMD via LeMat-Bulk describes an optimized crystal structure of SnHg2H6. The functional is PBE.

Output
SG = No. 225

Cell lengths 5.4267, 5.4267, 5.4267 Å; angles 60.00, 60.00, 60.00 degrees
With the nearest neighbours (Å) after each atom.
Sites, in units of the cell vectors:
1 Sn 0.0000 0.0000 0.0000  6 H 1.92
2 Hg 0.2500 0.2500 0.2500  12 H 2.71
3 Hg 0.7500 0.7500 0.7500  12 H 2.71
4 H 0.2507 0.2507 0.7493  1 Sn 1.92
5 H 0.2507 0.7493 0.2507  1 Sn 1.92
6 H 0.2507 0.7493 0.7493  1 Sn 1.92
7 H 0.7493 0.2507 0.2507  1 Sn 1.92
8 H 0.7493 0.2507 0.7493  1 Sn 1.92
9 H 0.7493 0.7493 0.2507  1 Sn 1.92



[4]
This record from OQMD via LeMat-Bulk describes an optimized crystal structure of TlHgH6. The functional is PBE.

Output
SG = No. 2

Cell lengths 4.5789, 4.7589, 5.2483 Å; angles 73.46, 70.02, 67.21 degrees
With the nearest neighbours (Å) after each atom.
Sites, in units of the cell vectors:
1 Tl 0.0000 0.0000 0.0000  2 H 1.74
2 Hg 0.5000 0.5000 0.5000  4 H 1.73-1.82
3 H 0.1782 0.3501 0.7416  1 Hg 1.82
4 H 0.2162 0.9643 0.2301  1 Tl 1.74
5 H 0.4722 0.7070 0.7357  1 Hg 1.73
6 H 0.5278 0.2930 0.2643  1 Hg 1.73
7 H 0.7838 0.0357 0.7699  1 Tl 1.74
8 H 0.8218 0.6499 0.2584  1 Hg 1.82



[5]
This record from OQMD via LeMat-Bulk describes an optimized crystal structure of Y2HgH2. The functional is PBE.

Output
SG = No. 139
Total magnetization = 0.0 μB per cell

Cell lengths 6.6447, 6.6447, 6.6447 Å; angles 147.34, 147.34, 46.86 degrees
With the nearest neighbours (Å) after each atom.
Sites, in units of the cell vectors:
1 Y 0.1501 0.1501 0.0000  4 H 2.23
2 Y 0.8499 0.8499 0.0000  4 H 2.23
3 Hg 0.5000 0.5000 0.0000  8 Y 3.21, 8 H 3.58
4 H 0.2500 0.7500 0.5000  4 Y 2.23
5 H 0.7500 0.2500 0.5000  4 Y 2.23



[6]
This record from OQMD via LeMat-Bulk describes an optimized crystal structure of HoH. The functional is PBE.

Output
SG = No. 225
Total magnetization = 0.0 μB per cell

Cell lengths 3.4434, 3.4434, 3.4434 Å; angles 60.00, 60.00, 60.00 degrees
With the nearest neighbours (Å) after each atom.
Sites, in units of the cell vectors:
1 Ho 0.0000 0.0000 0.0000  6 H 2.43
2 H 0.5000 0.5000 0.5000  6 Ho 2.43



[7]
This record from OQMD via LeMat-Bulk describes an optimized crystal structure of HoH3. The functional is PBE.

Output
SG = No. 63
Total magnetization = 0.0 μB per cell

Cell lengths 3.6026, 3.6026, 6.4604 Å; angles 90.00, 90.00, 119.78 degrees
With the nearest neighbours (Å) after each atom.
Sites, in units of the cell vectors:
1 Ho 0.1657 0.8343 0.7500  11 H 2.08-2.32
2 Ho 0.8343 0.1657 0.2500  11 H 2.08-2.32
3 H 0.1672 0.8328 0.0941  1 H 2.01, 1 Ho 2.22
4 H 0.1672 0.8328 0.4059  1 H 2.01, 1 Ho 2.22
5 H 0.5000 0.5000 0.2500  3 Ho 2.08, 6 H 2.31-2.32
6 H 0.5000 0.5000 0.7500  3 Ho 2.08, 6 H 2.31-2.32
7 H 0.8328 0.1672 0.5941  1 H 2.01, 1 Ho 2.22
8 H 0.8328 0.1672 0.9059  1 H 2.01, 1 Ho 2.22



[8]
This record from OQMD via LeMat-Bulk describes an optimized crystal structure of HoH. The functional is PBE.

Output
SG = No. 216
Total magnetization = 0.0 μB per cell

Cell lengths 3.6305, 3.6305, 3.6305 Å; angles 60.00, 60.00, 60.00 degrees
With the nearest neighbours (Å) after each atom.
Sites, in units of the cell vectors:
1 Ho 0.0000 0.0000 0.0000  4 H 2.22
2 H 0.2500 0.2500 0.2500  4 Ho 2.22



[9]
This record from OQMD via LeMat-Bulk describes an optimized crystal structure of HoH3. The functional is PBE.

Output
SG = No. 63
Total magnetization = 0.0 μB per cell

Cell lengths 3.6027, 3.6027, 6.4591 Å; angles 90.00, 90.00, 119.78 degrees
With the nearest neighbours (Å) after each atom.
Sites, in units of the cell vectors:
1 Ho 0.1659 0.8341 0.7500  11 H 2.08-2.32
2 Ho 0.8341 0.1659 0.2500  11 H 2.08-2.32
3 H 0.1670 0.8330 0.0941  1 H 2.01, 1 Ho 2.22
4 H 0.1670 0.8330 0.4059  1 H 2.01, 1 Ho 2.22
5 H 0.4997 0.5003 0.2500  3 Ho 2.08, 6 H 2.31-2.32
6 H 0.5003 0.4997 0.7500  3 Ho 2.08, 6 H 2.31-2.32
7 H 0.8330 0.1670 0.5941  1 H 2.01, 1 Ho 2.22
8 H 0.8330 0.1670 0.9059  1 H 2.01, 1 Ho 2.22



Across the entries above, electronic total energy takes the values -32.1; -19.4; -18.0; -18.3; -23.3; -8.6; -17.1; -8.8; -17.1 eV/f.u., respectively.